1.
Computed, not measured: a crystal of Zr2CdIn relaxed with PBEsol at the SCAN level of DFT.

Cell and atoms, written as POSCAR:
```
Zr2CdIn
1.0
3.083 0.000 0.000
0.000 3.083 0.000
0.000 0.000 8.752
Zr Cd In
2 1 1
Direct
0.000 0.000 0.249
0.000 0.000 0.751
0.500 0.500 0.500
0.500 0.500 0.000
```

calculated formation energy = -0.34 eV/atom
SG = P4/mmm, No. 123
magnetic moment = 0.00 μB/cell
calculated total energy = -126.564 eV per cell


2.
Computed, not measured: a crystal of ZrCd2In relaxed with PBEsol at the SCAN level of DFT.

Cell and atoms, written as POSCAR:
```
ZrCd2In
1.0
4.293 0.000 0.000
0.000 4.293 0.000
0.000 0.000 4.448
Zr Cd In
1 2 1
Direct
0.000 0.000 0.000
0.000 0.500 0.500
0.500 0.000 0.500
0.500 0.500 0.000
```

calculated formation energy = -0.32 eV/atom
SG = P4/mmm, No. 123
magnetic moment = 0.00 μB/cell
calculated total energy = -126.193 eV per cell


3.
Computed, not measured: a crystal of ZrCd2In relaxed with PBEsol at the SCAN level of DFT.

Cell and atoms, written as POSCAR:
```
ZrCd2In
1.0
3.187 0.000 0.000
0.000 4.378 0.000
0.000 0.000 6.127
Zr Cd In
1 2 1
Direct
0.000 0.000 0.000
0.500 0.500 0.242
0.500 0.500 0.758
0.000 0.000 0.500
```

calculated formation energy = -0.08 eV/atom
SG = Pmmm, No. 47
magnetic moment = 0.00 μB/cell
calculated total energy = -125.233 eV per cell